VASP calculation (PBE-GGA) on a relaxed structure of PrTaGa.

POSCAR file:
```
PrTaGa
1.0
4.0832 0.0000 0.0000
0.0000 4.0832 0.0000
0.0000 0.0000 8.5892
Pr Ta Ga
2 2 2
direct
0.2500 0.2500 0.1613
0.7500 0.7500 0.8387
0.2500 0.7500 0.5000
0.7500 0.2500 0.5000
0.2500 0.2500 0.7254
0.7500 0.7500 0.2746
```

Calculated values
E_form in eV/atom: -0.26
Magnetic moment in μB per cell: 0.00